[1]
BaCaTl2Cl6, optimized geometry, DFT GGA-PBE; calculated total energy = -3.847 eV per atom; uncorrected formation energy = -1.873 eV per atom; D(E_F) = 0.0 states/eV/cell
1.0
7.568 0.000 0.000
0.000 8.059 0.000
-7.549 0.000 10.981
Ba Ca Tl Cl
2 2 4 12
Direct
0.000 0.000 0.000 Ba
0.000 0.500 0.500 Ba
0.500 0.000 0.500 Ca
0.500 0.500 0.000 Ca
0.223 0.068 0.746 Tl
0.223 0.432 0.246 Tl
0.777 0.568 0.754 Tl
0.777 0.932 0.254 Tl
0.146 0.180 0.443 Cl
0.146 0.320 0.943 Cl
0.259 0.711 0.433 Cl
0.259 0.789 0.933 Cl
0.389 0.047 0.265 Cl
0.389 0.453 0.765 Cl
0.611 0.547 0.235 Cl
0.611 0.953 0.735 Cl
0.741 0.211 0.067 Cl
0.741 0.289 0.567 Cl
0.854 0.680 0.057 Cl
0.854 0.820 0.557 Cl

***

[2]
CsCo2AgBi, optimized geometry, DFT GGA-PBE; calculated total energy = -3.246 eV per atom; energy above the lowest structure with this stoichiometry = 0.0 meV per atom; formation energy = 1.113 eV/atom; D(E_F) = 6.7 states/eV/cell
1.0
5.216 0.000 0.000
0.000 5.216 0.000
0.000 0.000 5.457
Cs Co Ag Bi
1 2 1 1
Direct
0.000 0.000 0.000 Cs
0.000 0.500 0.500 Co
0.500 0.000 0.500 Co
0.500 0.500 0.500 Ag
0.500 0.500 0.000 Bi

***

[3]
Na3Tl2In4, optimized geometry, DFT GGA-PBE; calculated total energy = -2.287 eV per atom; energy above the lowest structure with this stoichiometry = 0.0 meV per atom; formation energy = -0.104 eV/atom; D(E_F) = 5.9 states/eV/cell
1.0
8.071 -4.653 0.000
8.071 4.653 0.000
-0.002 0.000 6.628
Na Tl In
6 4 8
Direct
0.000 0.000 0.250 Na
0.000 0.000 0.750 Na
0.331 0.332 0.250 Na
0.332 0.331 0.750 Na
0.668 0.669 0.250 Na
0.669 0.668 0.750 Na
0.000 0.327 0.001 Tl
0.000 0.673 0.999 Tl
0.327 0.000 0.501 Tl
0.673 0.000 0.499 Tl
0.006 0.660 0.499 In
0.333 0.661 0.500 In
0.339 0.667 0.000 In
0.340 0.994 0.001 In
0.660 0.006 0.999 In
0.661 0.333 0.000 In
0.667 0.339 0.500 In
0.994 0.340 0.501 In

***

[4]
TiCdNi2Te, optimized geometry, DFT GGA-PBE; calculated total energy = -3.701 eV per atom; uncorrected formation energy = 1.002 eV per atom; D(E_F) = 9.6 states/eV/cell
1.0
4.646 0.000 0.000
0.000 4.646 0.000
0.000 0.000 5.059
Ti Cd Ni Te
1 1 2 1
Direct
0.000 0.000 0.000 Ti
0.000 0.000 0.500 Cd
0.000 0.500 0.500 Ni
0.500 0.000 0.500 Ni
0.500 0.500 0.000 Te